A plane-wave DFT calculation with GGA-PBE was carried out for an optimized crystal structure of Tb4TlPd.

Geometry as POSCAR:
```
Tb4TlPd
1.0
0.000 6.922 6.922
6.922 0.000 6.922
6.922 6.922 0.000
Tb Tl Pd
16 4 4
direct
0.187 0.187 0.813
0.187 0.813 0.187
0.187 0.813 0.813
0.397 0.397 0.397
0.397 0.397 0.809
0.397 0.809 0.397
0.562 0.562 0.938
0.562 0.938 0.562
0.562 0.938 0.938
0.809 0.397 0.397
0.813 0.187 0.187
0.813 0.187 0.813
0.813 0.813 0.187
0.938 0.562 0.562
0.938 0.562 0.938
0.938 0.938 0.562
0.164 0.164 0.164
0.164 0.164 0.508
0.164 0.508 0.164
0.508 0.164 0.164
0.184 0.605 0.605
0.605 0.184 0.605
0.605 0.605 0.184
0.605 0.605 0.605
```

Computed properties:
- calculated formation energy (eV/atom) = -0.461
- total energy (eV/atom) = -4.81
- total moment (μB/cell) = 0.0
- symmetry = F-43m (216)
- D(E_F) (states/eV per cell) = 19.9